[1]
{"formula": "Nd2PaRh3", "functional": "PBE-GGA", "state": "optimized geometry", "vol_a3_per_atom": 23.72, "e_above_lowest_polymorph_ev_per_atom": 0.0608, "total_energy_ev_per_atom": -7.497, "lattice_angstrom": [[6.5851, -2.8933, 0.0000], [6.5851, 2.8933, 0.0000], [-2.3104, 0.0000, 7.4696]], "species": ["Nd", "Nd", "Nd", "Nd", "Pa", "Pa", "Rh", "Rh", "Rh", "Rh", "Rh", "Rh"], "frac_coords": [[0.1643, 0.1695, 0.0830], [0.1695, 0.1643, 0.5830], [0.8305, 0.8357, 0.4170], [0.8357, 0.8305, 0.9170], [0.4979, 0.5021, 0.7500], [0.5021, 0.4979, 0.2500], [0.0022, 0.9978, 0.2500], [0.3500, 0.3552, 0.4253], [0.3552, 0.3500, 0.9253], [0.6448, 0.6500, 0.0747], [0.6500, 0.6448, 0.5747], [0.9978, 0.0022, 0.7500]]}

[2]
{"formula": "MgBe4Os", "functional": "PBE-GGA", "state": "optimized geometry", "vol_a3_per_atom": 10.24, "total_energy_ev_per_atom": -4.744, "lattice_angstrom": [[0.0000, 3.1321, 3.1321], [3.1321, 0.0000, 3.1321], [3.1321, 3.1321, 0.0000]], "species": ["Mg", "Be", "Be", "Be", "Be", "Os"], "frac_coords": [[0.0000, 0.0000, 0.0000], [0.3778, 0.3778, 0.3778], [0.3778, 0.3778, 0.8665], [0.3778, 0.8665, 0.3778], [0.8665, 0.3778, 0.3778], [0.7500, 0.7500, 0.7500]]}